# 1
# Li3Ni4O8

Crystalline Li3Ni4O8 at its relaxed geometry (PBEsol, the Alexandria database).

Results
total magnetization = 0.192 μB per atom

Unit cell a=4.9950 b=5.6052 c=5.7355 alpha=119.25 beta=107.89 gamma=90.00
With the nearest neighbours (Å) after each atom.
Element x y z (fractional)
Li: 0.0000 0.0012 0.0000  6 O 2.08-2.19
Li: 0.9999 0.5003 0.5013  6 O 2.06-2.12
Li: 0.0001 0.9991 0.4987  6 O 2.06-2.12
Ni: 0.5000 0.7483 0.0000  6 O 1.91-2.05
Ni: 0.5090 0.2521 0.5044  6 O 1.87-1.92
Ni: 0.4910 0.7477 0.4956  6 O 1.87-1.92
Ni: 0.5000 0.2517 0.0000  6 O 1.89-2.07
O: 0.3001 0.3729 0.7499  3 Ni 1.87-1.91
O: 0.6999 0.6230 0.2501  3 Ni 1.87-1.91
O: 0.2857 0.8795 0.7548  3 Ni 1.92-1.94, 2 Li 2.08-2.09
O: 0.7143 0.1247 0.2452  3 Ni 1.92-1.94, 2 Li 2.08-2.09
O: 0.2787 0.3808 0.2806  3 Ni 1.87-2.07, 2 Li 2.06-2.08
O: 0.2802 0.8982 0.2777  3 Ni 1.87-2.05, 2 Li 2.07-2.09
O: 0.7213 0.1003 0.7194  3 Ni 1.87-2.07, 2 Li 2.06-2.08
O: 0.7198 0.6205 0.7223  3 Ni 1.87-2.05, 2 Li 2.07-2.09

***

# 2
# Li5Ni6O12

Crystalline Li5Ni6O12 at its relaxed geometry (PBEsol, the Alexandria database).

Results
total magnetization = 0.219 μB per atom

Unit cell a=5.7447 b=6.3437 c=6.3441 alpha=71.67 beta=76.61 gamma=64.57
With the nearest neighbours (Å) after each atom.
Element x y z (fractional)
Li: 0.7426 0.5073 0.9933  6 O 2.06-2.15
Li: 0.5776 0.1529 0.3437  6 O 2.02-2.24
Li: 0.0905 0.1595 0.3400  6 O 2.06-2.15
Li: 0.9166 0.8334 0.6667  6 O 2.04-2.20
Li: 0.2557 0.5137 0.9896  6 O 2.02-2.24
Ni: 0.9977 0.9990 0.9986  6 O 1.87-2.07
Ni: 0.3366 0.6675 0.3362  6 O 1.86-2.05
Ni: 0.6630 0.3387 0.6680  6 O 1.87-1.97
Ni: 0.1706 0.3278 0.6653  6 O 1.87-1.97
Ni: 0.4966 0.9991 0.9972  6 O 1.86-2.04
Ni: 0.8356 0.6677 0.3348  6 O 1.87-2.07
O: 0.0035 0.1087 0.6816  3 Ni 1.87-1.97, 2 Li 2.04-2.06
O: 0.8725 0.7650 0.0119  3 Ni 1.88-2.03, 2 Li 2.07-2.10
O: 0.3698 0.7600 0.0258  3 Ni 1.86-2.03, 2 Li 2.02-2.06
O: 0.4632 0.9067 0.3075  3 Ni 1.86-2.03, 2 Li 2.02-2.06
O: 0.2175 0.4255 0.3490  3 Ni 1.90-2.07, 1 Li 2.05
O: 0.7150 0.4314 0.3507  3 Ni 1.87-2.05
O: 0.3132 0.5604 0.6499  3 Ni 1.88-1.94, 1 Li 2.05
O: 0.8302 0.5579 0.6519  3 Ni 1.87-1.97, 2 Li 2.04-2.06
O: 0.5204 0.1062 0.6834  3 Ni 1.88-1.94, 1 Li 2.05
O: 0.6159 0.2412 0.9843  3 Ni 1.90-2.07, 1 Li 2.05
O: 0.1189 0.2351 0.9826  3 Ni 1.87-2.04
O: 0.9602 0.9020 0.3214  3 Ni 1.88-2.03, 2 Li 2.07-2.09

***

# 3
# Li3NiO3

Crystalline Li3NiO3 at its relaxed geometry (PBEsol, the Alexandria database).

Results
total magnetization = 0.145 μB per atom

Unit cell a=3.6898 b=8.4152 c=8.4152 alpha=90.00 beta=90.00 gamma=90.00
With the nearest neighbours (Å) after each atom.
Element x y z (fractional)
Li: 0.0000 0.1602 0.1602  4 O 1.91-1.98
Li: 0.5000 0.3398 0.6602  4 O 1.91-1.98
Li: 0.5000 0.6602 0.3398  4 O 1.91-1.98
Li: 0.0000 0.8398 0.8398  4 O 1.91-1.98
Li: 0.5000 0.1092 0.3719  3 O 1.90-1.92
Li: 0.0000 0.1281 0.6092  3 O 1.90-1.92
Li: 0.5000 0.3719 0.1092  3 O 1.90-1.92
Li: 0.0000 0.3908 0.8719  3 O 1.90-1.92
Li: 0.0000 0.6092 0.1281  3 O 1.90-1.92
Li: 0.5000 0.6281 0.8908  3 O 1.90-1.92
Li: 0.0000 0.8719 0.3908  3 O 1.90-1.92
Li: 0.5000 0.8908 0.6281  3 O 1.90-1.92
Ni: 0.0000 0.6165 0.6165  4 O 1.80-1.83
Ni: 0.5000 0.8835 0.1165  4 O 1.80-1.83
Ni: 0.5000 0.1165 0.8835  4 O 1.80-1.83
Ni: 0.0000 0.3835 0.3835  4 O 1.80-1.83
O: 0.5000 0.1010 0.1010  2 Ni 1.83, 2 Li 1.98
O: 0.0000 0.3990 0.6010  2 Ni 1.83, 2 Li 1.98
O: 0.0000 0.6010 0.3990  2 Ni 1.83, 2 Li 1.98
O: 0.5000 0.8990 0.8990  2 Ni 1.83, 2 Li 1.98
O: 0.5000 0.1127 0.6699  1 Ni 1.80, 4 Li 1.90-1.92
O: 0.0000 0.1699 0.3873  1 Ni 1.80, 4 Li 1.90-1.92
O: 0.5000 0.3301 0.8873  1 Ni 1.80, 4 Li 1.90-1.92
O: 0.0000 0.3873 0.1699  1 Ni 1.80, 4 Li 1.90-1.92
O: 0.0000 0.6127 0.8301  1 Ni 1.80, 4 Li 1.90-1.92
O: 0.5000 0.6699 0.1127  1 Ni 1.80, 4 Li 1.90-1.92
O: 0.0000 0.8301 0.6127  1 Ni 1.80, 4 Li 1.90-1.92
O: 0.5000 0.8873 0.3301  1 Ni 1.80, 4 Li 1.90-1.92

***

# 4
# Li4Ni5O10

Crystalline Li4Ni5O10 at its relaxed geometry (PBEsol, the Alexandria database).

Results
total magnetization = 0.212 μB per atom

Unit cell a=4.9646 b=4.9829 c=7.4743 alpha=83.55 beta=70.60 gamma=70.27
With the nearest neighbours (Å) after each atom.
Element x y z (fractional)
Li: 0.1045 0.5000 0.7913  6 O 2.06-2.15
Li: 0.5080 0.5000 0.9841  6 O 2.01-2.17
Li: 0.8919 0.5000 0.2161  6 O 2.01-2.18
Li: 0.2955 0.5000 0.4087  6 O 2.06-2.15
Ni: 0.9990 0.0000 0.0019  6 O 1.85-1.95
Ni: 0.6007 0.0000 0.7986  6 O 1.91-2.02
Ni: 0.7993 0.0000 0.4013  6 O 1.92-2.02
Ni: 0.2000 0.0000 0.6000  6 O 1.86-1.95
Ni: 0.4009 0.0000 0.1981  6 O 1.85-1.95
O: 0.4515 0.2037 0.5999  3 Ni 1.86-1.92, 2 Li 2.08
O: 0.8718 0.2189 0.8101  3 Ni 1.85-2.02, 2 Li 2.01-2.06
O: 0.2610 0.2167 0.0013  3 Ni 1.90-1.95, 1 Li 2.13
O: 0.9485 0.7964 0.6001  3 Ni 1.86-1.92, 2 Li 2.08
O: 0.6628 0.2174 0.1985  3 Ni 1.90-1.95, 1 Li 2.13
O: 0.3180 0.7811 0.8102  3 Ni 1.85-2.02, 2 Li 2.01-2.06
O: 0.0818 0.2187 0.3899  3 Ni 1.85-2.02, 2 Li 2.01-2.06
O: 0.7377 0.7832 0.0014  3 Ni 1.90-1.95, 1 Li 2.13
O: 0.1385 0.7827 0.1986  3 Ni 1.90-1.95, 1 Li 2.13
O: 0.5282 0.7813 0.3899  3 Ni 1.85-2.02, 2 Li 2.01-2.06

***

# 5
# Li7Ni12O24

Crystalline Li7Ni12O24 at its relaxed geometry (PBEsol, the Alexandria database).

Results
total magnetization = 0.164 μB per atom

Unit cell a=7.5693 b=7.5693 c=8.5478 alpha=105.99 beta=106.42 gamma=111.69
With the nearest neighbours (Å) after each atom.
Element x y z (fractional)
Li: 0.6641 0.1641 0.5000  6 O 2.03-2.18
Li: 0.4972 0.2523 0.7540  6 O 2.03-2.16
Li: 0.0077 0.5077 0.5000  6 O 2.07-2.16
Li: 0.1513 0.3742 0.2292  4 O 1.99-2.19
Li: 0.6939 0.6939 0.0000  6 O 2.05-2.19
Li: 0.4983 0.7432 0.2460  6 O 2.03-2.16
Li: 0.1450 0.9221 0.7708  4 O 1.99-2.19
Ni: 0.9159 0.2952 0.8732  6 O 1.85-1.92
Ni: 0.4220 0.0427 0.1268  6 O 1.85-1.92
Ni: 0.2508 0.1218 0.3790  6 O 1.85-1.98
Ni: 0.0799 0.2094 0.6223  6 O 1.86-2.05
Ni: 0.7477 0.3754 0.1234  6 O 1.86-1.92
Ni: 0.5871 0.4575 0.3777  6 O 1.86-2.05
Ni: 0.4165 0.5442 0.6252  6 O 1.86-1.92
Ni: 0.2520 0.6243 0.8766  6 O 1.86-1.92
Ni: 0.9190 0.7913 0.3748  6 O 1.86-1.92
Ni: 0.7428 0.8718 0.6210  6 O 1.85-1.98
Ni: 0.5823 0.9602 0.8725  6 O 1.85-2.00
Ni: 0.0877 0.7098 0.1275  6 O 1.85-2.00
O: 0.6515 0.0792 0.7036  3 Ni 1.85-1.99, 1 Li 2.03
O: 0.4781 0.1368 0.9533  3 Ni 1.86-1.92
O: 0.1803 0.0267 0.5500  3 Ni 1.86-1.92
O: 0.9842 0.3941 0.7025  3 Ni 1.86-1.92
O: 0.0088 0.1038 0.7830  3 Ni 1.88-1.91, 1 Li 2.00
O: 0.8550 0.2007 0.0421  3 Ni 1.87-1.94, 1 Li 1.99
O: 0.8006 0.4691 0.9538  3 Ni 1.86-2.00
O: 0.6916 0.2817 0.2975  3 Ni 1.86-1.92
O: 0.5093 0.3460 0.5543  3 Ni 1.85-2.04, 1 Li 2.03
O: 0.3208 0.2258 0.2170  3 Ni 1.88-1.91, 1 Li 2.00
O: 0.3721 0.4588 0.8011  3 Ni 1.86-2.05
O: 0.1493 0.3209 0.4608  3 Ni 1.87-1.98, 1 Li 2.08
O: 0.8601 0.6884 0.5392  3 Ni 1.87-1.98, 1 Li 2.08
O: 0.6577 0.5710 0.1989  3 Ni 1.86-2.05
O: 0.6796 0.7798 0.7907  3 Ni 1.85-1.88, 1 Li 2.05
O: 0.4768 0.6304 0.4500  3 Ni 1.86-1.92
O: 0.3044 0.7219 0.7066  3 Ni 1.88-1.95, 1 Li 2.07
O: 0.1835 0.5248 0.0467  3 Ni 1.86-1.92
O: 0.1586 0.8129 0.9579  3 Ni 1.87-1.94, 1 Li 1.99
O: 0.9891 0.8889 0.2093  3 Ni 1.85-1.88, 1 Li 2.05
O: 0.0153 0.5978 0.2934  3 Ni 1.88-1.95, 1 Li 2.07
O: 0.7917 0.9550 0.4457  3 Ni 1.85-2.04, 1 Li 2.03
O: 0.5153 0.8468 0.0462  3 Ni 1.86-2.00
O: 0.3756 0.9479 0.2964  3 Ni 1.85-1.99, 1 Li 2.03

***

# 6
# LiNi2O4

Crystalline LiNi2O4 at its relaxed geometry (PBEsol, the Alexandria database).

Results
total magnetization = 0.144 μB per atom

Unit cell a=2.8041 b=4.9002 c=5.0344 alpha=109.28 beta=90.00 gamma=90.00
With the nearest neighbours (Å) after each atom.
Element x y z (fractional)
Ni: 0.0000 0.0000 0.5000  6 O 1.86
Ni: 0.5000 0.5000 0.5000  6 O 1.91-1.99
O: 0.0000 0.2537 0.2954  3 Ni 1.86-1.91
O: 0.5000 0.7809 0.2918  3 Ni 1.86-1.99, 1 Li 2.09
O: 0.0000 0.7463 0.7046  3 Ni 1.86-1.91
O: 0.5000 0.2191 0.7082  3 Ni 1.86-1.99, 1 Li 2.09
Li: 0.5000 0.0000 0.0000  6 O 2.09-2.12

***

| no. | formation energy from raw total energies (meV/atom) | E_tot (Ry per atom) |
| --- | --- | --- |
| 1 | -1203 | -0.4438 |
| 2 | -1233 | -0.4414 |
| 3 | -1545 | -0.4055 |
| 4 | -1222 | -0.4424 |
| 5 | -1125 | -0.4478 |
| 6 | -1079 | -0.4498 |